No. 1
Compound: MnTl2Co
Source: Alexandria via LeMat-Bulk
Functional: PBE-GGA
Structure: optimized geometry

Cell: 4.573 4.573 3.483 Å, 90.00 90.00 90.09°
Fractional positions:
Mn  0.000  0.000  0.000
Tl  0.000  0.500  0.500
Tl  0.500  0.000  0.500
Co  0.500  0.500  0.000

Properties
The value obtained for the density of states at the Fermi level is 4.49 states/eV per cell. Its excess energy over the best structure of this formula in the dataset is 229 meV/atom. As for the space group: Cmmm. The value obtained for the energy of formation is 608 meV/atom.

***

No. 2
Compound: MnTlCo2
Source: Alexandria via LeMat-Bulk
Functional: PBE-GGA
Structure: optimized geometry

Cell: 3.978 3.978 3.619 Å, 90.00 90.00 90.00°
Fractional positions:
Mn  0.000  0.000  0.000
Tl  0.500  0.500  0.000
Co  0.000  0.500  0.500
Co  0.500  0.000  0.500

Properties
The value obtained for the density of states at the Fermi level is 3.69 states/eV per cell. Its excess energy over the best structure of this formula in the dataset is 36 meV/atom. As for the space group: P4/mmm. The value obtained for the energy of formation is 367 meV/atom.

***

Question: The lowest energy of formation belongs to which entry?
Answer: MnTlCo2

***

Question: Which value of energy of formation does entry 1 give?
Answer: 608 meV/atom